[1]
This record from Alexandria via LeMat-Bulk describes a relaxed structure of Pm2Be3Ir2. The functional is PBE.

Crystal system ... orthorhombic
Energy of formation ... -287 meV/atom
Energy above the lowest structure with this stoichiometry ... 1.372 eV per formula unit

Lattice parameters (Å, degrees): 8.9149 8.9149 6.7233 90.00 90.00 153.41
Fractional positions:
Pm 0.0613 0.9387 0.7500
Pm 0.1573 0.8427 0.2500
Pm 0.8427 0.1573 0.7500
Pm 0.9387 0.0613 0.2500
Be 0.2252 0.7748 0.7500
Be 0.4409 0.5591 0.5697
Be 0.4409 0.5591 0.9303
Be 0.5591 0.4409 0.0697
Be 0.5591 0.4409 0.4303
Be 0.7748 0.2252 0.2500
Ir 0.3172 0.6828 0.0516
Ir 0.3172 0.6828 0.4484
Ir 0.6828 0.3172 0.5516
Ir 0.6828 0.3172 0.9484

=====

[2]
This record from Alexandria via LeMat-Bulk describes a relaxed structure of Na3BiAu. The functional is PBE.

Crystal system ... triclinic
Energy of formation ... -328 meV/atom
Energy above the lowest structure with this stoichiometry ... 0.000 eV per formula unit

Lattice parameters (Å, degrees): 5.9039 5.9896 8.1953 78.73 75.81 79.99
Fractional positions:
Na 0.0542 0.4186 0.1990
Na 0.2999 0.9433 0.8926
Na 0.3503 0.2965 0.5000
Na 0.6497 0.7035 0.5000
Na 0.7001 0.0567 0.1074
Na 0.9458 0.5814 0.8010
Bi 0.1810 0.8680 0.3443
Bi 0.8190 0.1320 0.6557
Au 0.4440 0.4282 0.8589
Au 0.5560 0.5718 0.1411

=====

[3]
This record from Alexandria via LeMat-Bulk describes a relaxed structure of PrPuCl4. The functional is PBE.

Crystal system ... monoclinic
Formation energy (no corrections) ... -1.750 eV/atom

Lattice parameters (Å, degrees): 7.2440 6.9839 6.8033 90.00 92.64 90.00
Fractional positions:
Pr 0.0000 0.0000 0.0000
Pr 0.0000 0.5000 0.5000
Pu 0.5000 0.0000 0.5000
Pu 0.5000 0.5000 0.0000
Cl 0.1647 0.1494 0.6523
Cl 0.1647 0.3506 0.1523
Cl 0.3485 0.6510 0.6378
Cl 0.3485 0.8490 0.1378
Cl 0.6515 0.1510 0.8622
Cl 0.6515 0.3490 0.3622
Cl 0.8353 0.6494 0.8477
Cl 0.8353 0.8506 0.3477

=====

[4]
This record from Alexandria via LeMat-Bulk describes a relaxed structure of NbMoN2. The functional is PBE.

Crystal system ... trigonal
Energy above the lowest structure with this stoichiometry ... 1.426 eV per formula unit
Formation energy (no corrections) ... -0.232 eV/atom

Lattice parameters (Å, degrees): 6.5706 6.5706 6.5706 27.00 27.00 27.00
Fractional positions:
Nb 0.0000 0.0000 0.0000
Mo 0.5000 0.5000 0.5000
N 0.3965 0.3965 0.3965
N 0.6035 0.6035 0.6035

=====

Number 1: E -80.8 eV for the cell shown. Number 2: E -25.5 eV for the cell shown. Number 3: E -74.0 eV for the cell shown. Number 4: E -38.5 eV for the cell shown.